Record 1
# La2SnSe2

A relaxed La2SnSe2 crystal (PBE, Alexandria).

extended XYZ file:
```
10
Lattice="8.595 0.000 0.000 0.000 8.595 0.000 0.000 0.000 3.895" Properties=species:S:1:pos:R:3 pbc="T T T"
Sn 0.000 0.000 0.000
Sn 4.297 4.297 0.000
Se 1.191 5.489 1.947
Se 5.489 7.404 1.947
Se 7.404 3.106 1.947
Se 3.106 1.191 1.947
La 2.908 7.205 0.000
La 7.205 5.687 0.000
La 5.687 1.390 0.000
La 1.390 2.908 0.000
```

## Properties
total magnetic moment	0.000	μB/f.u.
raw total energy	-5.468	eV per atom
raw formation energy	-1.303	eV/atom

***

Record 2
# Li4Tb9Tl11

A relaxed Li4Tb9Tl11 crystal (PBE, Alexandria).

extended XYZ file:
```
24
Lattice="3.533 0.000 0.000 0.000 12.612 -5.185 0.000 0.188 13.635" Properties=species:S:1:pos:R:3 pbc="T T T"
Li 1.767 7.012 7.322
Li 1.767 5.788 1.128
Li 1.767 9.489 3.571
Li 1.767 3.312 4.879
Tb 1.767 8.003 -1.368
Tb 1.767 4.798 9.818
Tb 1.767 1.887 7.896
Tb 1.767 10.913 0.554
Tb 1.767 10.063 8.708
Tb 1.767 2.737 -0.258
Tb 1.767 11.962 5.831
Tb 1.767 0.839 2.619
Tb 1.767 6.400 4.225
Tl 0.000 7.494 9.561
Tl 0.000 5.306 -1.111
Tl 0.000 11.737 3.134
Tl 0.000 1.064 5.316
Tl 0.000 8.121 1.618
Tl 0.000 4.679 6.832
Tl 0.000 10.656 -2.221
Tl 0.000 2.145 10.671
Tl 0.000 0.000 0.000
Tl 0.000 8.957 5.913
Tl 0.000 3.843 2.537
```

## Properties
total magnetic moment	0.584	μB/f.u.
formation energy from the elements	-279	meV per atom
raw total energy	-3.419	eV per atom

***

Record 3
# ScSe2N2

A relaxed ScSe2N2 crystal (PBE, Alexandria).

extended XYZ file:
```
5
Lattice="4.196 0.000 0.000 0.000 4.196 0.000 0.000 0.000 5.648" Properties=species:S:1:pos:R:3 pbc="T T T"
Sc 0.000 0.000 0.000
Se 2.098 2.098 2.824
Se 0.000 0.000 2.824
N 0.000 2.098 0.000
N 2.098 0.000 0.000
```

## Properties
total magnetic moment	3.876	μB/f.u.
raw total energy	-5.202	eV per atom
raw formation energy	0.788	eV/atom

***

Record 4
# Li2SnGe

A relaxed Li2SnGe crystal (PBE, Alexandria).

extended XYZ file:
```
4
Lattice="-0.834 -3.020 3.721 2.710 -4.004 0.537 3.198 -0.300 3.653" Properties=species:S:1:pos:R:3 pbc="T T T"
Li 1.269 -1.831 1.978
Li 2.537 -3.662 3.956
Sn 0.000 0.000 0.000
Ge 3.806 -5.493 5.933
```

## Properties
total magnetic moment	0.000	μB/f.u.
formation energy from the elements	-147	meV per atom
raw total energy	-3.259	eV per atom